No. 1
La2PaCo | PBE | optimized geometry

Cell lengths 10.577, 10.577, 10.577 Å; angles 18.72, 18.72, 18.72 degrees
Positions (direct):
La 0.106 0.106 0.106
La 0.894 0.894 0.894
Pa 0.000 0.000 0.000
Co 0.500 0.500 0.500

Total energy, eV/atom: -6.2003
Crystal system: trigonal
Density of states at the Fermi level, states/eV per cell: 6.596
Symmetry: R-3m, No. 166
Magnetization, Bohr magnetons per cell: 0.0
Mass density, g/cm³: 8.85

No. 2
La12PaCo7 | PBE | optimized geometry

Cell lengths 8.995, 8.995, 8.995 Å; angles 109.42, 109.42, 109.42 degrees
Positions (direct):
La 0.095 0.660 0.240
La 0.130 0.341 0.421
La 0.240 0.095 0.660
La 0.340 0.760 0.905
La 0.341 0.421 0.130
La 0.421 0.130 0.341
La 0.579 0.870 0.659
La 0.659 0.579 0.870
La 0.660 0.240 0.095
La 0.760 0.905 0.340
La 0.870 0.659 0.579
La 0.905 0.340 0.760
Pa 0.000 0.000 0.000
Co 0.044 0.733 0.955
Co 0.045 0.956 0.267
Co 0.267 0.045 0.956
Co 0.500 0.500 0.500
Co 0.733 0.955 0.044
Co 0.955 0.044 0.733
Co 0.956 0.267 0.045

Total energy, eV/atom: -6.0563
Crystal system: trigonal
Density of states at the Fermi level, states/eV per cell: 20.134
Symmetry: R-3, No. 148
Magnetization, Bohr magnetons per cell: 0.0
Mass density, g/cm³: 6.83

No. 3
La3PaCo3 | PBE | optimized geometry

Cell lengths 6.783, 6.783, 14.928 Å; angles 114.35, 114.35, 32.67 degrees
Positions (direct):
La 0.012 0.012 0.127
La 0.085 0.085 0.418
La 0.227 0.227 0.694
La 0.773 0.773 0.306
La 0.915 0.915 0.582
La 0.988 0.988 0.873
Pa 0.279 0.279 0.106
Pa 0.721 0.721 0.894
Co 0.363 0.363 0.962
Co 0.418 0.418 0.425
Co 0.429 0.429 0.253
Co 0.571 0.571 0.747
Co 0.582 0.582 0.575
Co 0.637 0.637 0.038

Total energy, eV/atom: -6.6930
Crystal system: monoclinic
Density of states at the Fermi level, states/eV per cell: 12.490
Symmetry: C2/m, No. 12
Magnetization, Bohr magnetons per cell: 0.0
Mass density, g/cm³: 8.18

No. 4
La2PaCoS5 | PBE | optimized geometry

Cell lengths 8.485, 8.485, 12.277 Å; angles 90.00, 90.00, 153.74 degrees
Positions (direct):
La 0.113 0.887 0.500
La 0.120 0.880 0.848
La 0.880 0.120 0.348
La 0.887 0.113 0.000
Pa 0.174 0.826 0.172
Pa 0.826 0.174 0.672
Co 0.436 0.564 0.574
Co 0.564 0.436 0.074
S 0.017 0.983 0.161
S 0.308 0.692 0.832
S 0.310 0.690 0.512
S 0.339 0.661 0.172
S 0.499 0.501 0.911
S 0.501 0.499 0.411
S 0.661 0.339 0.672
S 0.690 0.310 0.012
S 0.692 0.308 0.332
S 0.983 0.017 0.661

Crystal system: orthorhombic
Density of states at the Fermi level, states/eV per cell: 6.273
Symmetry: Cmc2_1, No. 36
ΔE_f (raw), meV/atom: -1720
Magnetization, Bohr magnetons per cell: 0.9
Mass density, g/cm³: 6.18

No. 5
LaPaCoS4 | PBE | optimized geometry

Cell lengths 6.360, 5.776, 7.941 Å; angles 90.00, 106.50, 90.00 degrees
Positions (direct):
La 0.239 0.250 0.436
La 0.761 0.750 0.564
Pa 0.251 0.250 0.943
Pa 0.749 0.750 0.057
Co 0.263 0.750 0.168
Co 0.737 0.250 0.832
S 0.073 0.750 0.366
S 0.075 0.750 0.899
S 0.482 0.509 0.758
S 0.482 0.991 0.758
S 0.518 0.009 0.242
S 0.518 0.491 0.242
S 0.925 0.250 0.101
S 0.927 0.250 0.634

Crystal system: monoclinic
Density of states at the Fermi level, states/eV per cell: 8.753
Symmetry: P2_1/m, No. 11
ΔE_f (raw), meV/atom: -1508
Magnetization, Bohr magnetons per cell: 0.0
Mass density, g/cm³: 6.62

No. 6
La2TmPa2Co5 | PBE | optimized geometry

Cell lengths 10.728, 10.728, 3.461 Å; angles 90.00, 90.00, 90.00 degrees
Positions (direct):
La 0.175 0.325 0.000
La 0.325 0.825 0.000
La 0.675 0.175 0.000
La 0.825 0.675 0.000
Tm 0.000 0.000 0.000
Tm 0.500 0.500 0.000
Pa 0.135 0.635 0.000
Pa 0.365 0.135 0.000
Pa 0.635 0.865 0.000
Pa 0.865 0.365 0.000
Co 0.000 0.500 0.500
Co 0.044 0.779 0.500
Co 0.221 0.044 0.500
Co 0.279 0.544 0.500
Co 0.456 0.279 0.500
Co 0.500 0.000 0.500
Co 0.544 0.721 0.500
Co 0.721 0.456 0.500
Co 0.779 0.956 0.500
Co 0.956 0.221 0.500

Total energy, eV/atom: -6.9854
Crystal system: tetragonal
Density of states at the Fermi level, states/eV per cell: 13.997
Symmetry: P4/mbm, No. 127
Magnetization, Bohr magnetons per cell: 0.0
Mass density, g/cm³: 10.03

No. 7
LaCoPb | PBE | optimized geometry

Cell lengths 5.081, 5.081, 5.081 Å; angles 60.00, 60.00, 60.00 degrees
Positions (direct):
La 0.000 0.000 0.000
Co 0.250 0.250 0.250
Pb 0.750 0.750 0.750

Total energy, eV/atom: -4.6136
Crystal system: cubic
Density of states at the Fermi level, states/eV per cell: 5.692
Symmetry: F-43m, No. 216
Magnetization, Bohr magnetons per cell: 1.6
Mass density, g/cm³: 7.25

No. 8
LaCoPb | PBE | optimized geometry

Cell lengths 4.646, 4.646, 3.979 Å; angles 90.00, 90.00, 120.00 degrees
Positions (direct):
La 0.000 0.000 0.000
Co 0.333 0.667 0.500
Pb 0.667 0.333 0.500

Total energy, eV/atom: -5.3880
Crystal system: hexagonal
Density of states at the Fermi level, states/eV per cell: 3.510
Symmetry: P-6m2, No. 187
Magnetization, Bohr magnetons per cell: 0.8
Mass density, g/cm³: 9.04

No. 9
La2CoPb | PBE | optimized geometry

Cell lengths 6.800, 6.800, 6.800 Å; angles 149.69, 137.71, 52.91 degrees
Positions (direct):
La 0.000 0.000 0.000
La 0.691 0.191 0.500
Co 0.492 0.492 0.000
Pb 0.311 0.811 0.500

Total energy, eV/atom: -5.3636
Crystal system: orthorhombic
Density of states at the Fermi level, states/eV per cell: 3.095
Symmetry: Imm2, No. 44
Magnetization, Bohr magnetons per cell: 0.0
Mass density, g/cm³: 8.50

No. 10
LaCoPb3 | PBE | optimized geometry

Cell lengths 5.175, 5.175, 5.175 Å; angles 90.00, 90.00, 90.00 degrees
Positions (direct):
La 0.000 0.000 0.000
Co 0.500 0.500 0.500
Pb 0.000 0.500 0.500
Pb 0.500 0.000 0.500
Pb 0.500 0.500 0.000

Total energy, eV/atom: -4.6047
Crystal system: cubic
Density of states at the Fermi level, states/eV per cell: 4.777
Symmetry: Pm-3m, No. 221
Magnetization, Bohr magnetons per cell: 0.8
Mass density, g/cm³: 9.82

No. 11
LaCoPb | PBE | optimized geometry

Cell lengths 6.488, 6.488, 6.488 Å; angles 149.53, 149.53, 43.63 degrees
Positions (direct):
La 0.000 0.000 0.000
Co 0.652 0.652 0.000
Pb 0.278 0.278 0.000

Total energy, eV/atom: -5.2704
Crystal system: tetragonal
Density of states at the Fermi level, states/eV per cell: 2.828
Symmetry: I4mm, No. 107
Magnetization, Bohr magnetons per cell: 0.8
Mass density, g/cm³: 9.61

No. 12
La7Co2Pb3 | PBE | optimized geometry

Cell lengths 13.860, 13.860, 5.075 Å; angles 90.00, 90.00, 157.96 degrees
Positions (direct):
La 0.000 0.000 0.000
La 0.097 0.903 0.500
La 0.209 0.791 0.000
La 0.396 0.604 0.000
La 0.604 0.396 0.000
La 0.791 0.209 0.000
La 0.903 0.097 0.500
Co 0.103 0.897 0.000
Co 0.897 0.103 0.000
Pb 0.309 0.691 0.500
Pb 0.500 0.500 0.500
Pb 0.691 0.309 0.500

Total energy, eV/atom: -5.3869
Crystal system: orthorhombic
Density of states at the Fermi level, states/eV per cell: 8.409
Symmetry: Cmmm, No. 65
Magnetization, Bohr magnetons per cell: 0.0
Mass density, g/cm³: 7.77